The following is a DFT calculation (GGA-PBE) of a relaxed RbSc2W crystal.

Symmetry = Fm-3m
Formation energy = 1.1827 eV/atom
Crystal system = cubic
Relative energy among the computed polymorphs = 500 meV per atom

Lattice parameters (Å, degrees): 5.1022 5.1022 5.1022 60.00 60.00 60.00
Sites, in units of the cell vectors:
W: 0.5000 0.5000 0.5000
Sc: 0.7500 0.7500 0.7500
Sc: 0.2500 0.2500 0.2500
Rb: 0.0000 0.0000 0.0000

The following is a DFT calculation (GGA-PBE) of a relaxed ZrGaSe3 crystal.

Symmetry = Pm-3m
Raw formation energy = -570.5 meV per atom
Crystal system = cubic
Relative energy among the computed polymorphs = 354 meV per atom

Lattice parameters (Å, degrees): 5.2548 5.2548 5.2548 90.00 90.00 90.00
Sites, in units of the cell vectors:
Zr: 0.0000 0.0000 0.0000
Ga: 0.5000 0.5000 0.5000
Se: 0.0000 0.0000 0.5000
Se: 0.0000 0.5000 0.0000
Se: 0.5000 0.0000 0.0000

The following is a DFT calculation (GGA-PBE) of a relaxed BeAs2PtS crystal.

Symmetry = P4/mmm
Raw formation energy = 614.9 meV per atom
Crystal system = tetragonal
Relative energy among the computed polymorphs = 105 meV per atom

Lattice parameters (Å, degrees): 4.4377 4.3829 4.4377 90.00 90.00 90.00
Sites, in units of the cell vectors:
Be: 0.0000 0.0000 0.0000
As: 0.5000 0.0000 0.0000
Pt: 0.0000 0.5000 0.0000
S: 0.5000 0.5000 0.5000
As: 0.0000 0.0000 0.5000

The following is a DFT calculation (GGA-PBE) of a relaxed CePmNd2Se4 crystal.

Symmetry = P2/m
Raw formation energy = -1838.0 meV per atom
Crystal system = monoclinic

Lattice parameters (Å, degrees): 4.1922 7.3124 7.3167 70.83 90.00 90.00
Site moments in Bohr magnetons follow the coordinates.
Sites, in units of the cell vectors:
Pm: 0.0000 0.5000 0.5000  0.02
Se: 0.0000 0.7473 0.7507  -0.01
Se: 0.5000 0.2531 0.7491  0.00
Se: 0.5000 0.7469 0.2509  0.00
Ce: 0.5000 0.5000 0.0000  0.77
Nd: 0.0000 0.0000 0.0000  0.02
Nd: 0.5000 0.0000 0.5000  0.00
Se: 0.0000 0.2527 0.2492  -0.01

The following is a DFT calculation (GGA-PBE) of a relaxed CaNd5Er6 crystal.

Symmetry = C2/m
Formation energy = 0.0449 eV/atom
Crystal system = monoclinic

Lattice parameters (Å, degrees): 6.2524 8.0421 8.0421 84.61 97.42 97.42
Sites, in units of the cell vectors:
Ca: 0.0000 0.0000 0.0000
Er: 0.7462 0.5769 0.9151
Nd: 0.5000 0.5000 0.5000
Er: 0.7462 0.9151 0.5769
Nd: 0.5000 0.8307 0.1693
Er: 0.2553 0.7477 0.7477
Nd: 0.0000 0.6633 0.3367
Er: 0.2538 0.0849 0.4231
Er: 0.7447 0.2523 0.2523
Nd: 0.0000 0.3367 0.6633
Nd: 0.5000 0.1693 0.8307
Er: 0.2538 0.4231 0.0849

The following is a DFT calculation (GGA-PBE) of a relaxed Mg15SnPb4 crystal.

Symmetry = P4/mmm
Formation energy = -0.0623 eV/atom
Crystal system = tetragonal

Lattice parameters (Å, degrees): 4.4869 4.4869 23.4653 90.00 90.00 90.00
Sites, in units of the cell vectors:
Pb: 0.0000 0.0000 0.3994
Mg: 0.5000 0.0000 0.2983
Pb: 0.0000 0.0000 0.6006
Pb: 0.0000 0.0000 0.1980
Mg: 0.5000 0.5000 0.8030
Pb: 0.0000 0.0000 0.8020
Mg: 0.0000 0.5000 0.7017
Mg: 0.5000 0.0000 0.0963
Mg: 0.5000 0.5000 0.6012
Sn: 0.0000 0.0000 0.0000
Mg: 0.0000 0.5000 0.0963
Mg: 0.0000 0.5000 0.5000
Mg: 0.0000 0.5000 0.2983
Mg: 0.5000 0.0000 0.5000
Mg: 0.5000 0.0000 0.7017
Mg: 0.5000 0.5000 0.0000
Mg: 0.0000 0.5000 0.9037
Mg: 0.5000 0.5000 0.1970
Mg: 0.5000 0.5000 0.3988
Mg: 0.5000 0.0000 0.9037

The following is a DFT calculation (GGA-PBE) of a relaxed BaSr2Ag crystal.

Symmetry = Pm
Formation energy = -0.1258 eV/atom
Crystal system = monoclinic
Relative energy among the computed polymorphs = 30 meV per atom

Lattice parameters (Å, degrees): 4.1244 4.1160 11.2252 68.43 90.00 90.00
Sites, in units of the cell vectors:
Sr: 0.5000 0.1844 0.3163
Ba: 0.5000 0.8145 0.6849
Sr: 0.0000 0.9886 0.0111
Ag: 0.0000 0.5125 0.4877

The following is a DFT calculation (GGA-PBE) of a relaxed ZrMnAlCr crystal.

Symmetry = F-43m
Formation energy = -0.0908 eV/atom
Crystal system = cubic

Lattice parameters (Å, degrees): 4.4202 4.4202 4.4202 60.00 60.00 60.00
Site moments in Bohr magnetons follow the coordinates.
Sites, in units of the cell vectors:
Zr: 0.2500 0.2500 0.2500  -0.26
Cr: 0.5000 0.5000 0.5000  2.24
Al: 0.7500 0.7500 0.7500  -0.05
Mn: 0.0000 0.0000 0.0000  1.93

The following is a DFT calculation (GGA-PBE) of a relaxed BaPbI2N crystal.

Symmetry = P4/mmm
Raw formation energy = 215.1 meV per atom
Crystal system = tetragonal
Relative energy among the computed polymorphs = 365 meV per atom

Lattice parameters (Å, degrees): 6.8195 6.8195 4.6943 90.00 90.00 90.00
Site moments in Bohr magnetons follow the coordinates.
Sites, in units of the cell vectors:
Pb: 0.5000 0.5000 0.5000  -0.13
Ba: 0.0000 0.0000 0.0000  -0.02
I: 0.0000 0.5000 0.0000  0.00
I: 0.5000 0.0000 0.0000  0.00
N: 0.0000 0.0000 0.5000  0.54

The following is a DFT calculation (GGA-PBE) of a relaxed Ac2NdY5Ho crystal.

Symmetry = Cmc2_1
Formation energy = 0.1541 eV/atom
Crystal system = orthorhombic

Lattice parameters (Å, degrees): 5.8143 10.5072 10.9269 90.00 90.00 106.06
Sites, in units of the cell vectors:
Y: 0.5185 0.0371 0.2376
Y: 0.7171 0.4343 0.8133
Nd: 0.5846 0.1691 0.9614
Ho: 0.7966 0.5932 0.5125
Y: 0.3864 0.7727 0.0199
Y: 0.9809 0.9618 0.5237
Ac: 0.8869 0.7738 0.2313
Y: 0.2973 0.5945 0.7059
Y: 0.0191 0.0382 0.0237
Y: 0.6136 0.2273 0.5199
Y: 0.2829 0.5657 0.3133
Ho: 0.2034 0.4068 0.0125
Y: 0.7027 0.4055 0.2059
Ac: 0.8850 0.7700 0.8184
Ac: 0.1150 0.2300 0.3184
Nd: 0.4154 0.8309 0.4614
Y: 0.4815 0.9629 0.7376
Ac: 0.1131 0.2262 0.7313

The following is a DFT calculation (GGA-PBE) of a relaxed Pm2Pt5Au5 crystal.

Symmetry = Pmmm
Formation energy = -0.5399 eV/atom
Crystal system = orthorhombic

Lattice parameters (Å, degrees): 4.5598 5.5113 9.5083 90.00 90.00 90.00
Sites, in units of the cell vectors:
Pt: 0.5000 0.5000 0.5000
Pm: 0.0000 0.0000 0.5000
Au: 0.0000 0.5000 0.6686
Au: 0.5000 0.0000 0.0000
Au: 0.0000 0.5000 0.3314
Pt: 0.5000 0.2499 0.2534
Au: 0.0000 0.0000 0.8279
Pt: 0.5000 0.7501 0.7466
Au: 0.0000 0.0000 0.1721
Pt: 0.5000 0.7501 0.2534
Pt: 0.5000 0.2499 0.7466
Pm: 0.0000 0.5000 0.0000

The following is a DFT calculation (GGA-PBE) of a relaxed LiLuPd2 crystal.

Symmetry = P4/mmm
Formation energy = -0.7796 eV/atom
Crystal system = tetragonal
Relative energy among the computed polymorphs = 0 meV per atom

Lattice parameters (Å, degrees): 3.3941 3.3941 5.9486 90.00 90.00 90.00
Sites, in units of the cell vectors:
Pd: 0.0000 0.0000 0.7646
Lu: 0.5000 0.5000 0.5000
Pd: 0.0000 0.0000 0.2354
Li: 0.5000 0.5000 0.0000

What did we get for raw total energy? Answer: -5.463 -4.976 -4.024 -6.108 -4.390 -2.200 -2.160 -7.862 -3.196 -5.388 -5.214 -4.985 eV/atom, in the order shown.
What did we get for M_tot? Answer: 0.00 0.00 0.00 0.98 0.00 0.00 0.00 3.94 0.47 0.00 0.00 0.00 μB/f.u., in the order shown.